1.
Computed, not measured: crystalline Rb2CeCo3F12 at its relaxed geometry at the GGA+U level of DFT.

Calculated values
* E_tot: -5.2384 eV/atom
* density of states at the Fermi level: 0.483 states/eV per atom
* magnetic moment: 0.5297 μB per atom

Unit cell a=7.332 b=7.332 c=7.332 alpha=62.56 beta=62.56 gamma=62.56
Fractional coordinates of all 18 atoms:
1 Rb 0.109 0.109 0.109
2 Rb 0.891 0.891 0.891
3 Ce 0.500 0.500 0.500
4 Co 0.000 0.500 0.500
5 Co 0.500 0.000 0.500
6 Co 0.500 0.500 0.000
7 F 0.133 0.611 0.611
8 F 0.215 0.215 0.598
9 F 0.215 0.598 0.215
10 F 0.389 0.389 0.867
11 F 0.389 0.867 0.389
12 F 0.402 0.785 0.785
13 F 0.598 0.215 0.215
14 F 0.611 0.133 0.611
15 F 0.611 0.611 0.133
16 F 0.785 0.402 0.785
17 F 0.785 0.785 0.402
18 F 0.867 0.389 0.389



2.
Computed, not measured: crystalline Rb2CeCoF6 at its relaxed geometry at the GGA+U level of DFT.

Calculated values
* E_tot: -5.2440 eV/atom
* density of states at the Fermi level: 0.828 states/eV per atom
* magnetic moment: 0.1004 μB per atom

Unit cell a=6.398 b=9.075 c=6.421 alpha=90.00 beta=90.00 gamma=90.00
Fractional coordinates of all 20 atoms:
1 Rb 0.250 0.001 0.249
2 Rb 0.250 0.499 0.249
3 Rb 0.750 0.501 0.751
4 Rb 0.750 0.999 0.751
5 Ce 0.250 0.250 0.749
6 Ce 0.750 0.750 0.251
7 Co 0.250 0.750 0.751
8 Co 0.750 0.250 0.249
9 F 0.003 0.750 0.505
10 F 0.004 0.750 0.998
11 F 0.250 0.503 0.750
12 F 0.250 0.997 0.750
13 F 0.496 0.750 0.998
14 F 0.497 0.750 0.505
15 F 0.503 0.250 0.495
16 F 0.504 0.250 0.002
17 F 0.750 0.003 0.250
18 F 0.750 0.497 0.250
19 F 0.996 0.250 0.002
20 F 0.997 0.250 0.495



3.
Computed, not measured: crystalline RbCeCoF6 at its relaxed geometry at the GGA+U level of DFT.

Calculated values
* E_tot: -5.6643 eV/atom
* density of states at the Fermi level: 0.407 states/eV per atom
* magnetic moment: 0.2222 μB per atom

Unit cell a=7.538 b=7.538 c=7.538 alpha=120.59 beta=116.55 gamma=92.53
Fractional coordinates of all 18 atoms:
1 Rb 0.336 0.086 0.250
2 Rb 0.664 0.914 0.750
3 Ce 0.000 0.500 0.500
4 Ce 0.500 0.500 0.000
5 Co 0.000 0.000 0.500
6 Co 0.000 0.500 0.000
7 F 0.053 0.345 0.166
8 F 0.053 0.887 0.707
9 F 0.089 0.339 0.750
10 F 0.321 0.113 0.666
11 F 0.321 0.655 0.207
12 F 0.370 0.620 0.750
13 F 0.630 0.380 0.250
14 F 0.679 0.345 0.793
15 F 0.679 0.887 0.334
16 F 0.911 0.661 0.250
17 F 0.947 0.113 0.293
18 F 0.947 0.655 0.834



Q: Look up the magnetic moment of the third one.
A: 0.2222 μB per atom



Q: Look up the magnetic moment of the second one.
A: 0.1004 μB per atom